The following is a DFT calculation (PBE-GGA) of a relaxed structure of TlGeTeN2.

Computed properties:
- Crystal system: tetragonal
- DFT total energy: -20.613 eV/cell
- Relative energy among the computed polymorphs: 0 meV/atom
- Calculated volume: 95.2 Å³ per cell
- Uncorrected formation energy: 1233 meV/atom
- Magnetic moment: 0.00 μB/cell

Unit cell a=4.045 b=4.045 c=5.818 alpha=90.00 beta=90.00 gamma=90.00
Space group P4/mmm (No. 123)
One atom of each set of equivalent atoms:
Tl 0.000 0.000 0.000 (multiplicity 1)
Ge 0.500 0.500 0.500 (multiplicity 1)
Te 0.500 0.500 0.000 (multiplicity 1)
N 0.000 0.500 0.500 (multiplicity 2)



The following is a DFT calculation (PBE-GGA) of a relaxed structure of TlGeTeN2.

Computed properties:
- Crystal system: tetragonal
- DFT total energy: -17.995 eV/cell
- Relative energy among the computed polymorphs: 524 meV/atom
- Calculated volume: 121.3 Å³ per cell
- Uncorrected formation energy: 1756 meV/atom
- Magnetic moment: 2.87 μB/cell

Unit cell a=4.392 b=4.392 c=6.288 alpha=90.00 beta=90.00 gamma=90.00
Space group P4/mmm (No. 123)
One atom of each set of equivalent atoms:
Tl 0.000 0.000 0.000 (multiplicity 1)
Ge 0.500 0.500 0.500 (multiplicity 1)
Te 0.000 0.000 0.500 (multiplicity 1)
N 0.000 0.500 0.000 (multiplicity 2)



The following is a DFT calculation (PBE-GGA) of a relaxed structure of Tm8Ge3Te4N.

Computed properties:
- Crystal system: trigonal
- DFT total energy: -266.661 eV/cell
- Calculated volume: 1200.8 Å³ per cell
- Uncorrected formation energy: -1148 meV/atom
- Magnetic moment: 0.00 μB/cell

Unit cell a=8.1466 b=8.1466 c=20.8913 alpha=90.00 beta=90.00 gamma=120.00
Space group R-3m (No. 166, hexagonal axes)
One atom of each set of equivalent atoms:
Tm 0.0000 0.0000 0.2403 (multiplicity 6)
Tm 0.0210 0.5105 0.2346 (multiplicity 18)
Ge 0.0000 0.5000 0.5000 (multiplicity 9)
Te 0.0000 0.0000 0.0000 (multiplicity 3)
Te 0.0000 0.5000 0.0000 (multiplicity 9)
N 0.0000 0.0000 0.5000 (multiplicity 3)



The following is a DFT calculation (PBE-GGA) of a relaxed structure of GeTe2WN.

Computed properties:
- Crystal system: tetragonal
- DFT total energy: -30.384 eV/cell
- Relative energy among the computed polymorphs: 0 meV/atom
- Calculated volume: 114.2 Å³ per cell
- Uncorrected formation energy: 359 meV/atom
- Magnetic moment: 0.00 μB/cell

Unit cell a=5.472 b=5.472 c=3.815 alpha=90.00 beta=90.00 gamma=90.00
Space group P4/mmm (No. 123)
One atom of each set of equivalent atoms:
Ge 0.000 0.000 0.000 (multiplicity 1)
Te 0.000 0.500 0.500 (multiplicity 2)
W 0.500 0.500 0.500 (multiplicity 1)
N 0.500 0.500 0.000 (multiplicity 1)



The following is a DFT calculation (PBE-GGA) of a relaxed structure of GeTe2WN.

Computed properties:
- Crystal system: tetragonal
- DFT total energy: -25.645 eV/cell
- Relative energy among the computed polymorphs: 948 meV/atom
- Calculated volume: 105.8 Å³ per cell
- Uncorrected formation energy: 1307 meV/atom
- Magnetic moment: 2.73 μB/cell

Unit cell a=5.504 b=5.504 c=3.492 alpha=90.00 beta=90.00 gamma=90.00
Space group P4/mmm (No. 123)
One atom of each set of equivalent atoms:
Ge 0.000 0.000 0.000 (multiplicity 1)
Te 0.000 0.500 0.000 (multiplicity 2)
W 0.500 0.500 0.500 (multiplicity 1)
N 0.000 0.000 0.500 (multiplicity 1)



The following is a DFT calculation (PBE-GGA) of a relaxed structure of YGeTeN2.

Computed properties:
- Crystal system: tetragonal
- DFT total energy: -27.985 eV/cell
- Relative energy among the computed polymorphs: 0 meV/atom
- Calculated volume: 91.3 Å³ per cell
- Uncorrected formation energy: 578 meV/atom
- Magnetic moment: 0.72 μB/cell

Unit cell a=4.097 b=4.097 c=5.439 alpha=90.00 beta=90.00 gamma=90.00
Space group P4/mmm (No. 123)
One atom of each set of equivalent atoms:
Y 0.000 0.000 0.000 (multiplicity 1)
Ge 0.500 0.500 0.500 (multiplicity 1)
Te 0.500 0.500 0.000 (multiplicity 1)
N 0.000 0.500 0.500 (multiplicity 2)



The following is a DFT calculation (PBE-GGA) of a relaxed structure of YGeTeN2.

Computed properties:
- Crystal system: tetragonal
- DFT total energy: -27.025 eV/cell
- Relative energy among the computed polymorphs: 192 meV/atom
- Calculated volume: 123.2 Å³ per cell
- Uncorrected formation energy: 770 meV/atom
- Magnetic moment: 3.01 μB/cell

Unit cell a=4.441 b=4.441 c=6.249 alpha=90.00 beta=90.00 gamma=90.00
Space group P4/mmm (No. 123)
One atom of each set of equivalent atoms:
Y 0.000 0.000 0.000 (multiplicity 1)
Ge 0.500 0.500 0.500 (multiplicity 1)
Te 0.000 0.000 0.500 (multiplicity 1)
N 0.000 0.500 0.000 (multiplicity 2)



The following is a DFT calculation (PBE-GGA) of a relaxed structure of ZrGe2TeN.

Computed properties:
- Crystal system: tetragonal
- DFT total energy: -23.176 eV/cell
- Calculated volume: 154.2 Å³ per cell
- Uncorrected formation energy: 1215 meV/atom
- Magnetic moment: 2.68 μB/cell

Unit cell a=5.298 b=5.298 c=5.496 alpha=90.00 beta=90.00 gamma=90.00
Space group P4/mmm (No. 123)
One atom of each set of equivalent atoms:
Zr 0.000 0.000 0.000 (multiplicity 1)
Ge 0.000 0.500 0.000 (multiplicity 2)
Te 0.000 0.000 0.500 (multiplicity 1)
N 0.500 0.500 0.500 (multiplicity 1)



The following is a DFT calculation (PBE-GGA) of a relaxed structure of ThGeN3.

Computed properties:
- Crystal system: orthorhombic
- DFT total energy: -157.370 eV/cell
- Calculated volume: 292.6 Å³ per cell
- Uncorrected formation energy: -466 meV/atom
- Magnetic moment: 3.61 μB/cell

Unit cell a=3.509 b=13.650 c=6.109 alpha=90.00 beta=90.00 gamma=90.00
Space group Cmcm (No. 63)
One atom of each set of equivalent atoms:
Th 0.000 0.181 0.250 (multiplicity 4)
Ge 0.000 0.424 0.250 (multiplicity 4)
N 0.000 0.006 0.750 (multiplicity 4)
N 0.000 0.339 0.013 (multiplicity 8)



The following is a DFT calculation (PBE-GGA) of a relaxed structure of ThGe2N4.

Computed properties:
- Crystal system: tetragonal
- DFT total energy: -213.446 eV/cell
- Calculated volume: 375.5 Å³ per cell
- Uncorrected formation energy: -487 meV/atom
- Magnetic moment: 0.00 μB/cell

Unit cell a=7.745 b=7.745 c=6.260 alpha=90.00 beta=90.00 gamma=90.00
Space group I-42d (No. 122)
One atom of each set of equivalent atoms:
Th 0.000 0.000 0.000 (multiplicity 4)
Ge 0.076 0.250 0.625 (multiplicity 8)
N 0.049 0.712 0.889 (multiplicity 16)



The following is a DFT calculation (PBE-GGA) of a relaxed structure of Th4Ge2N.

Computed properties:
- Crystal system: tetragonal
- DFT total energy: -104.811 eV/cell
- Calculated volume: 360.1 Å³ per cell
- Uncorrected formation energy: -738 meV/atom
- Magnetic moment: 0.00 μB/cell

Unit cell a=4.717 b=4.717 c=16.185 alpha=90.00 beta=90.00 gamma=90.00
Space group I4/mmm (No. 139)
One atom of each set of equivalent atoms:
Th 0.000 0.000 0.173 (multiplicity 4)
Th 0.000 0.500 0.000 (multiplicity 4)
Ge 0.000 0.000 0.363 (multiplicity 4)
N 0.000 0.000 0.000 (multiplicity 2)



The following is a DFT calculation (PBE-GGA) of a relaxed structure of Th4Ge3N2.

Computed properties:
- Crystal system: monoclinic
- DFT total energy: -139.949 eV/cell
- Calculated volume: 432.8 Å³ per cell
- Uncorrected formation energy: -1088 meV/atom
- Magnetic moment: 0.00 μB/cell

Unit cell a=13.383 b=4.174 c=9.556 alpha=90.00 beta=125.82 gamma=90.00
Space group C2/m (No. 12)
One atom of each set of equivalent atoms:
Th 0.107 0.000 0.387 (multiplicity 4)
Th 0.194 0.500 0.134 (multiplicity 4)
Ge 0.000 0.000 0.000 (multiplicity 2)
Ge 0.098 0.500 0.657 (multiplicity 4)
N 0.188 0.500 0.360 (multiplicity 4)



The following is a DFT calculation (PBE-GGA) of a relaxed structure of Th2TiGeN5.

Computed properties:
- Crystal system: orthorhombic
- DFT total energy: -317.460 eV/cell
- Calculated volume: 473.1 Å³ per cell
- Uncorrected formation energy: -1154 meV/atom
- Magnetic moment: 0.00 μB/cell

Unit cell a=3.319 b=14.135 c=10.083 alpha=90.00 beta=90.00 gamma=90.00
Space group Cmc2_1 (No. 36)
One atom of each set of equivalent atoms:
Th 0.000 0.119 0.000 (multiplicity 4)
Th 0.000 0.137 0.617 (multiplicity 4)
Ti 0.000 0.214 0.328 (multiplicity 4)
Ge 0.000 0.447 0.768 (multiplicity 4)
N 0.000 0.048 0.364 (multiplicity 4)
N 0.000 0.289 0.970 (multiplicity 4)
N 0.000 0.317 0.690 (multiplicity 4)
N 0.000 0.347 0.319 (multiplicity 4)
N 0.000 0.495 0.102 (multiplicity 4)



The following is a DFT calculation (PBE-GGA) of a relaxed structure of Ti4GeN.

Computed properties:
- Crystal system: monoclinic
- DFT total energy: -97.358 eV/cell
- Calculated volume: 179.0 Å³ per cell
- Uncorrected formation energy: -693 meV/atom
- Magnetic moment: 0.00 μB/cell

Unit cell a=5.596 b=5.716 c=5.611 alpha=90.00 beta=94.13 gamma=90.00
Space group P2_1/c (No. 14)
One atom of each set of equivalent atoms:
Ti 0.099 0.167 0.178 (multiplicity 4)
Ti 0.324 0.623 0.095 (multiplicity 4)
Ge 0.500 0.000 0.000 (multiplicity 2)
N 0.000 0.000 0.500 (multiplicity 2)



The following is a DFT calculation (PBE-GGA) of a relaxed structure of TiGe2N.

Computed properties:
- Crystal system: tetragonal
- DFT total energy: -97.574 eV/cell
- Calculated volume: 242.5 Å³ per cell
- Uncorrected formation energy: 265 meV/atom
- Magnetic moment: 0.00 μB/cell

Unit cell a=6.079 b=6.079 c=6.562 alpha=90.00 beta=90.00 gamma=90.00
Space group I-42d (No. 122)
One atom of each set of equivalent atoms:
Ti 0.000 0.000 0.000 (multiplicity 4)
Ge 0.171 0.250 0.625 (multiplicity 8)
N 0.000 0.000 0.500 (multiplicity 4)



The following is a DFT calculation (PBE-GGA) of a relaxed structure of Ti4Ge2N.

Computed properties:
- Crystal system: tetragonal
- DFT total energy: -110.490 eV/cell
- Calculated volume: 213.9 Å³ per cell
- Uncorrected formation energy: -872 meV/atom
- Magnetic moment: 0.00 μB/cell

Unit cell a=3.964 b=3.964 c=13.615 alpha=90.00 beta=90.00 gamma=90.00
Space group I4/mmm (No. 139)
One atom of each set of equivalent atoms:
Ti 0.000 0.000 0.160 (multiplicity 4)
Ti 0.000 0.500 0.000 (multiplicity 4)
Ge 0.000 0.000 0.354 (multiplicity 4)
N 0.000 0.000 0.000 (multiplicity 2)



The following is a DFT calculation (PBE-GGA) of a relaxed structure of Ti3GeN.

Computed properties:
- Crystal system: monoclinic
- DFT total energy: -166.434 eV/cell
- Calculated volume: 283.8 Å³ per cell
- Uncorrected formation energy: -996 meV/atom
- Magnetic moment: 0.00 μB/cell

Unit cell a=9.694 b=4.082 c=7.494 alpha=90.00 beta=106.85 gamma=90.00
Space group C2/m (No. 12)
One atom of each set of equivalent atoms:
Ti 0.088 0.000 0.183 (multiplicity 4)
Ti 0.152 0.000 0.648 (multiplicity 4)
Ti 0.152 0.500 0.942 (multiplicity 4)
Ge 0.079 0.500 0.388 (multiplicity 4)
N 0.131 0.000 0.925 (multiplicity 4)



The following is a DFT calculation (PBE-GGA) of a relaxed structure of TiGe4N4.

Computed properties:
- Crystal system: triclinic
- DFT total energy: -120.377 eV/cell
- Calculated volume: 252.3 Å³ per cell
- Uncorrected formation energy: -58 meV/atom
- Magnetic moment: 0.00 μB/cell

Unit cell a=5.241 b=6.644 c=7.812 alpha=98.06 beta=95.60 gamma=108.59
Space group P-1 (No. 2)
One atom of each set of equivalent atoms:
Ti 0.171 0.382 0.242 (multiplicity 2)
Ge 0.145 0.941 0.140 (multiplicity 2)
Ge 0.247 0.505 0.626 (multiplicity 2)
Ge 0.255 0.957 0.551 (multiplicity 2)
Ge 0.422 0.696 0.055 (multiplicity 2)
N 0.115 0.102 0.358 (multiplicity 2)
N 0.154 0.652 0.422 (multiplicity 2)
N 0.193 0.673 0.839 (multiplicity 2)
N 0.220 0.187 0.016 (multiplicity 2)



The following is a DFT calculation (PBE-GGA) of a relaxed structure of TiGeN3.

Computed properties:
- Crystal system: cubic
- DFT total energy: -33.825 eV/cell
- Calculated volume: 51.6 Å³ per cell
- Uncorrected formation energy: 733 meV/atom
- Magnetic moment: 0.00 μB/cell

Unit cell a=3.723 b=3.723 c=3.723 alpha=90.00 beta=90.00 gamma=90.00
Space group Pm-3m (No. 221)
One atom of each set of equivalent atoms:
Ti 0.000 0.000 0.000 (multiplicity 1)
Ge 0.500 0.500 0.500 (multiplicity 1)
N 0.000 0.500 0.500 (multiplicity 3)



The following is a DFT calculation (PBE-GGA) of a relaxed structure of Ti5Ge2N.

Computed properties:
- Crystal system: orthorhombic
- DFT total energy: -238.888 eV/cell
- Calculated volume: 569.5 Å³ per cell
- Uncorrected formation energy: -336 meV/atom
- Magnetic moment: 0.00 μB/cell

Unit cell a=4.017 b=13.675 c=10.369 alpha=90.00 beta=90.00 gamma=90.00
Space group Cmcm (No. 63)
One atom of each set of equivalent atoms:
Ti 0.000 0.101 0.110 (multiplicity 8)
Ti 0.000 0.274 0.750 (multiplicity 4)
Ti 0.000 0.299 0.071 (multiplicity 8)
Ge 0.000 0.089 0.635 (multiplicity 8)
N 0.000 0.210 0.250 (multiplicity 4)



The following is a DFT calculation (PBE-GGA) of a relaxed structure of Ti3GeN.

Computed properties:
- Crystal system: cubic
- DFT total energy: -41.129 eV/cell
- Calculated volume: 69.7 Å³ per cell
- Uncorrected formation energy: -900 meV/atom
- Magnetic moment: 0.91 μB/cell

Unit cell a=4.116 b=4.116 c=4.116 alpha=90.00 beta=90.00 gamma=90.00
Space group Pm-3m (No. 221)
One atom of each set of equivalent atoms:
Ti 0.000 0.000 0.500 (multiplicity 3)
Ge 0.500 0.500 0.500 (multiplicity 1)
N 0.000 0.000 0.000 (multiplicity 1)



The following is a DFT calculation (PBE-GGA) of a relaxed structure of TiGeN3.

Computed properties:
- Crystal system: cubic
- DFT total energy: -34.159 eV/cell
- Calculated volume: 61.7 Å³ per cell
- Uncorrected formation energy: 666 meV/atom
- Magnetic moment: 2.33 μB/cell

Unit cell a=3.953 b=3.953 c=3.953 alpha=90.00 beta=90.00 gamma=90.00
Space group Pm-3m (No. 221)
One atom of each set of equivalent atoms:
Ti 0.000 0.000 0.000 (multiplicity 1)
Ge 0.500 0.500 0.500 (multiplicity 1)
N 0.000 0.000 0.500 (multiplicity 3)